CeYIrRh: relaxed, PBE-GGA.

Properties
Formation enthalpy at 0 K   -0.74 eV per atom
Crystal system   cubic
Relative energy among the computed polymorphs   71.9 meV per atom

Unit cell a=6.9400 b=6.9400 c=6.9400 alpha=90.00 beta=90.00 gamma=90.00
Fractional coordinates of all 16 atoms:
Ce  0.0000  0.0000  0.0000
Ce  0.0000  0.5000  0.5000
Ce  0.5000  0.0000  0.5000
Ce  0.5000  0.5000  0.0000
Y  0.0000  0.0000  0.5000
Y  0.0000  0.5000  0.0000
Y  0.5000  0.0000  0.0000
Y  0.5000  0.5000  0.5000
Ir  0.2500  0.2500  0.2500
Ir  0.2500  0.7500  0.7500
Ir  0.7500  0.2500  0.7500
Ir  0.7500  0.7500  0.2500
Rh  0.2500  0.2500  0.7500
Rh  0.2500  0.7500  0.2500
Rh  0.7500  0.2500  0.2500
Rh  0.7500  0.7500  0.7500

BaSiMo2: relaxed, PBE-GGA.

Properties
Crystal system   tetragonal
DFT total energy   -6.969 eV/atom

Unit cell a=3.2930 b=3.2930 c=7.8173 alpha=90.00 beta=90.00 gamma=90.00
Fractional coordinates of all 4 atoms:
Ba  0.0000  0.0000  0.0000
Si  0.5000  0.5000  0.6792
Mo  0.0000  0.0000  0.5086
Mo  0.5000  0.5000  0.3422

BeTeRuPb2: relaxed, PBE-GGA.

Properties
Crystal system   tetragonal
DFT total energy   -3.322 eV/atom

Unit cell a=6.0202 b=6.0202 c=4.2611 alpha=90.00 beta=90.00 gamma=90.00
Fractional coordinates of all 5 atoms:
Be  0.0000  0.0000  0.0000
Te  0.0000  0.0000  0.5000
Ru  0.5000  0.5000  0.0000
Pb  0.0000  0.5000  0.5000
Pb  0.5000  0.0000  0.5000

CoSbP2: relaxed, PBE-GGA.

Properties
Crystal system   orthorhombic
DFT total energy   -5.209 eV/atom

Unit cell a=2.8759 b=5.1368 c=9.1665 alpha=90.00 beta=90.00 gamma=90.00
Fractional coordinates of all 8 atoms:
Co  0.0000  0.0000  0.0000
Co  0.5000  0.5000  0.5000
Sb  0.0000  0.0000  0.5000
Sb  0.5000  0.5000  0.0000
P  0.0000  0.5000  0.3102
P  0.0000  0.5000  0.6898
P  0.5000  0.0000  0.1898
P  0.5000  0.0000  0.8102

TbY4Er2Mg: relaxed, PBE-GGA.

Properties
Formation enthalpy at 0 K   0.02 eV per atom
Crystal system   monoclinic

Unit cell a=6.0925 b=3.5787 c=11.3471 alpha=90.00 beta=90.76 gamma=90.00
Fractional coordinates of all 8 atoms:
Tb  0.0000  0.0000  0.0000
Y  0.1591  0.5000  0.7496
Y  0.3391  0.0000  0.2555
Y  0.6609  0.0000  0.7445
Y  0.8409  0.5000  0.2504
Er  0.0000  0.0000  0.5000
Er  0.5000  0.5000  0.0000
Mg  0.5000  0.5000  0.5000

TlCr2Re: relaxed, PBE-GGA.

Properties
Formation enthalpy at 0 K   0.72 eV per atom
Crystal system   cubic
Relative energy among the computed polymorphs   245.2 meV per atom

Unit cell a=6.2431 b=6.2431 c=6.2431 alpha=90.00 beta=90.00 gamma=90.00
Fractional coordinates of all 16 atoms:
Tl  0.0000  0.0000  0.0000
Tl  0.0000  0.5000  0.5000
Tl  0.5000  0.0000  0.5000
Tl  0.5000  0.5000  0.0000
Cr  0.2500  0.2500  0.2500
Cr  0.2500  0.2500  0.7500
Cr  0.2500  0.7500  0.2500
Cr  0.2500  0.7500  0.7500
Cr  0.7500  0.2500  0.2500
Cr  0.7500  0.2500  0.7500
Cr  0.7500  0.7500  0.2500
Cr  0.7500  0.7500  0.7500
Re  0.0000  0.0000  0.5000
Re  0.0000  0.5000  0.0000
Re  0.5000  0.0000  0.0000
Re  0.5000  0.5000  0.5000

Ca2Er3Tl4: relaxed, PBE-GGA.

Properties
Formation enthalpy at 0 K   -0.21 eV per atom
Crystal system   orthorhombic

Unit cell a=9.3336 b=9.3336 c=8.9021 alpha=90.00 beta=90.00 gamma=134.67
Fractional coordinates of all 18 atoms:
Ca  0.1074  0.8926  0.9172
Ca  0.3926  0.6074  0.4172
Ca  0.6074  0.3926  0.5828
Ca  0.8926  0.1074  0.0828
Er  0.0000  0.0000  0.5000
Er  0.0294  0.4706  0.7500
Er  0.4706  0.0294  0.2500
Er  0.5000  0.5000  0.0000
Er  0.5294  0.9706  0.7500
Er  0.9706  0.5294  0.2500
Tl  0.1819  0.8181  0.5378
Tl  0.2056  0.2944  0.7500
Tl  0.2944  0.2056  0.2500
Tl  0.3181  0.6819  0.0378
Tl  0.6819  0.3181  0.9622
Tl  0.7056  0.7944  0.7500
Tl  0.7944  0.7056  0.2500
Tl  0.8181  0.1819  0.4622

Er4CI2: relaxed, PBE-GGA.

Properties
Crystal system   tetragonal
DFT total energy   -4.599 eV/atom

Unit cell a=5.0670 b=5.0670 c=14.6076 alpha=90.00 beta=90.00 gamma=90.00
Fractional coordinates of all 14 atoms:
Er  0.0000  0.0000  0.1630
Er  0.0000  0.0000  0.8370
Er  0.0000  0.5000  0.0000
Er  0.0000  0.5000  0.5000
Er  0.5000  0.0000  0.0000
Er  0.5000  0.0000  0.5000
Er  0.5000  0.5000  0.3370
Er  0.5000  0.5000  0.6630
C  0.0000  0.0000  0.0000
C  0.5000  0.5000  0.5000
I  0.0000  0.0000  0.3772
I  0.0000  0.0000  0.6228
I  0.5000  0.5000  0.1228
I  0.5000  0.5000  0.8772